No. 1
VASP calculation (PBE) on ZnAg2Te after structural relaxation.

crystal system	orthorhombic
formation energy without anion corrections	0.1270	eV/atom
density of states at the Fermi level	1.44	states/eV/f.u.

The structure in POSCAR format:
```
ZnAg2Te
1.0
2.1407 -2.2161 0.0000
2.1407 2.2161 0.0000
0.0000 0.0000 8.7472
Zn Ag Te
1 2 1
direct
0.0000 0.0000 0.0000
0.5000 0.5000 0.1992
0.5000 0.5000 0.8008
0.0000 0.0000 0.5000
```


No. 2
VASP calculation (PBE) on AgBiPd4 after structural relaxation.

ΔE_f	-0.06	eV per atom
crystal system	cubic
density of states at the Fermi level	1.04	states/eV/f.u.

The structure in POSCAR format:
```
AgBiPd4
1.0
0.0000 3.7983 3.7983
3.7983 0.0000 3.7983
3.7983 3.7983 0.0000
Ag Bi Pd
1 1 4
direct
0.0000 0.0000 0.0000
0.2500 0.2500 0.2500
0.1244 0.6252 0.6252
0.6252 0.1244 0.6252
0.6252 0.6252 0.1244
0.6252 0.6252 0.6252
```


No. 3
VASP calculation (PBE) on La2TbPmH after structural relaxation.

crystal system	tetragonal
E_tot	-4.69	eV per atom
density of states at the Fermi level	4.08	states/eV/f.u.

The structure in POSCAR format:
```
La2TbPmH
1.0
5.2233 0.0000 0.0000
0.0000 5.2233 0.0000
0.0000 0.0000 5.1093
La Tb Pm H
2 1 1 1
direct
0.0000 0.5000 0.0000
0.5000 0.0000 0.0000
0.0000 0.0000 0.5000
0.5000 0.5000 0.5000
0.0000 0.0000 0.0000
```


No. 4
VASP calculation (PBE) on Pm2CuOs after structural relaxation.

ΔE_f	-0.11	eV per atom
crystal system	cubic
density of states at the Fermi level	1.88	states/eV/f.u.

The structure in POSCAR format:
```
Pm2CuOs
1.0
0.0000 3.5211 3.5211
3.5211 0.0000 3.5211
3.5211 3.5211 0.0000
Pm Cu Os
2 1 1
direct
0.2500 0.2500 0.2500
0.7500 0.7500 0.7500
0.0000 0.0000 0.0000
0.5000 0.5000 0.5000
```


No. 5
VASP calculation (PBE) on TcB2RhC after structural relaxation.

ΔE_f	1.26	eV per atom
crystal system	tetragonal
density of states at the Fermi level	3.25	states/eV/f.u.

The structure in POSCAR format:
```
TcB2RhC
1.0
3.6712 0.0000 0.0000
0.0000 3.6712 0.0000
0.0000 0.0000 3.8537
Tc B Rh C
1 2 1 1
direct
0.0000 0.0000 0.0000
0.0000 0.5000 0.5000
0.5000 0.0000 0.5000
0.5000 0.5000 0.0000
0.0000 0.0000 0.5000
```


No. 6
VASP calculation (PBE) on LiSc2Ru after structural relaxation.

ΔE_f	0.30	eV per atom
crystal system	trigonal
density of states at the Fermi level	5.09	states/eV/f.u.

The structure in POSCAR format:
```
LiSc2Ru
1.0
1.5344 0.8859 9.9884
-1.5344 0.8859 9.9884
0.0000 -1.7718 9.9884
Li Sc Ru
1 2 1
direct
0.0000 0.0000 0.0000
0.4218 0.4218 0.4218
0.5782 0.5782 0.5782
0.5000 0.5000 0.5000
```


No. 7
VASP calculation (PBE) on BaHfZn3 after structural relaxation.

ΔE_f	0.31	eV per atom
crystal system	cubic
density of states at the Fermi level	6.94	states/eV/f.u.

The structure in POSCAR format:
```
BaHfZn3
1.0
5.2870 0.0000 0.0000
0.0000 5.2870 0.0000
0.0000 0.0000 5.2870
Ba Hf Zn
1 1 3
direct
0.0000 0.0000 0.0000
0.5000 0.5000 0.5000
0.0000 0.5000 0.5000
0.5000 0.0000 0.5000
0.5000 0.5000 0.0000
```


No. 8
VASP calculation (PBE) on Tb2Sm6Ho after structural relaxation.

ΔE_f	0.13	eV per atom
crystal system	orthorhombic
density of states at the Fermi level	12.46	states/eV/f.u.

The structure in POSCAR format:
```
Tb2Sm6Ho
1.0
4.6808 -8.8107 0.0000
4.6808 8.8107 0.0000
0.0000 0.0000 3.6411
Tb Sm Ho
2 6 1
direct
0.1787 0.8213 0.0000
0.8213 0.1787 0.0000
0.1589 0.4876 0.5000
0.3159 0.3159 0.0000
0.4876 0.1589 0.5000
0.5124 0.8411 0.5000
0.6841 0.6841 0.0000
0.8411 0.5124 0.5000
0.0000 0.0000 0.5000
```


No. 9
VASP calculation (PBE) on UPa2MoN6 after structural relaxation.

crystal system	trigonal
formation energy without anion corrections	-1.1453	eV/atom
density of states at the Fermi level	6.66	states/eV/f.u.

The structure in POSCAR format:
```
UPa2MoN6
1.0
2.8996 1.6741 4.7815
-2.8996 1.6741 4.7815
0.0000 -3.3482 4.7815
U Pa Mo N
1 2 1 6
direct
0.0000 0.0000 0.0000
0.2799 0.2799 0.2799
0.7784 0.7784 0.7784
0.4918 0.4918 0.4918
0.1252 0.7015 0.3712
0.2100 0.6241 0.8633
0.3712 0.1252 0.7015
0.6241 0.8633 0.2100
0.7015 0.3712 0.1252
0.8633 0.2100 0.6241
```


No. 10
VASP calculation (PBE) on BaMn2Os after structural relaxation.

ΔE_f	1.19	eV per atom
crystal system	tetragonal
density of states at the Fermi level	3.82	states/eV/f.u.

The structure in POSCAR format:
```
BaMn2Os
1.0
-2.2459 2.2459 4.0247
2.2459 -2.2459 4.0247
2.2459 2.2459 -4.0247
Ba Mn Os
1 2 1
direct
0.0000 0.0000 0.0000
0.2500 0.7500 0.5000
0.5000 0.5000 0.0000
0.7500 0.2500 0.5000
```


No. 11
VASP calculation (PBE) on CsTi4Te8 after structural relaxation.

crystal system	monoclinic
formation energy without anion corrections	-0.7332	eV/atom
density of states at the Fermi level	5.93	states/eV/f.u.

The structure in POSCAR format:
```
CsTi4Te8
1.0
9.6113 -1.9313 0.0000
9.6113 1.9313 0.0000
-8.5761 0.0000 10.2834
Cs Ti Te
1 4 8
direct
0.0000 0.0000 0.0000
0.1542 0.1542 0.4740
0.3325 0.3325 0.1584
0.6675 0.6675 0.8416
0.8458 0.8458 0.5260
0.0360 0.0360 0.7351
0.2978 0.2978 0.9228
0.3385 0.3385 0.6709
0.3717 0.3717 0.4050
0.6283 0.6283 0.5950
0.6615 0.6615 0.3291
0.7022 0.7022 0.0772
0.9640 0.9640 0.2649
```


No. 12
VASP calculation (PBE) on BaCdHg2 after structural relaxation.

ΔE_f	-0.32	eV per atom
crystal system	monoclinic
density of states at the Fermi level	3.14	states/eV/f.u.

The structure in POSCAR format:
```
BaCdHg2
1.0
5.4332 -2.3817 0.0000
5.4332 2.3817 0.0000
-2.6230 0.0000 4.8389
Ba Cd Hg
1 1 2
direct
0.0000 0.0000 0.0000
0.2279 0.2279 0.7163
0.5058 0.5058 0.5087
0.7686 0.7686 0.2749
```


No. 13
VASP calculation (PBE) on Ta2HgSe after structural relaxation.

crystal system	monoclinic
formation energy without anion corrections	0.4008	eV/atom
density of states at the Fermi level	2.41	states/eV/f.u.

The structure in POSCAR format:
```
Ta2HgSe
1.0
2.9357 -4.3524 0.0000
2.9357 4.3524 0.0000
-0.9394 0.0000 2.9567
Ta Hg Se
2 1 1
direct
0.0000 0.5000 0.0000
0.5000 0.0000 0.0000
0.0000 0.0000 0.5000
0.5000 0.5000 0.5000
```


No. 14
VASP calculation (PBE) on Er6Ir5Pt after structural relaxation.

ΔE_f	-0.95	eV per atom
crystal system	orthorhombic
density of states at the Fermi level	3.63	states/eV/f.u.

The structure in POSCAR format:
```
Er6Ir5Pt
1.0
2.3681 -7.1027 0.0000
2.3681 7.1027 0.0000
0.0000 0.0000 7.0442
Er Ir Pt
6 5 1
direct
0.0000 0.0000 0.2472
0.0000 0.0000 0.7528
0.3318 0.6682 0.2492
0.3318 0.6682 0.7508
0.6682 0.3318 0.2492
0.6682 0.3318 0.7508
0.1663 0.8337 0.0000
0.1666 0.8334 0.5000
0.5000 0.5000 0.0000
0.8334 0.1666 0.5000
0.8337 0.1663 0.0000
0.5000 0.5000 0.5000
```


No. 15
VASP calculation (PBE) on Tl2FeAu after structural relaxation.

ΔE_f	0.54	eV per atom
crystal system	cubic
density of states at the Fermi level	5.79	states/eV/f.u.

The structure in POSCAR format:
```
Tl2FeAu
1.0
0.0000 3.5332 3.5332
3.5332 0.0000 3.5332
3.5332 3.5332 0.0000
Tl Fe Au
2 1 1
direct
0.0000 0.0000 0.0000
0.2500 0.2500 0.2500
0.7500 0.7500 0.7500
0.5000 0.5000 0.5000
```


No. 16
VASP calculation (PBE) on SbPPtI2 after structural relaxation.

crystal system	tetragonal
formation energy without anion corrections	1.0010	eV/atom
density of states at the Fermi level	6.25	states/eV/f.u.

The structure in POSCAR format:
```
SbPPtI2
1.0
5.2305 0.0000 0.0000
0.0000 5.2305 0.0000
0.0000 0.0000 5.3736
Sb P Pt I
1 1 1 2
direct
0.0000 0.0000 0.0000
0.0000 0.0000 0.5000
0.5000 0.5000 0.0000
0.0000 0.5000 0.5000
0.5000 0.0000 0.5000
```


No. 17
VASP calculation (PBE) on Sm2ScH after structural relaxation.

crystal system	tetragonal
E_tot	-4.69	eV per atom
density of states at the Fermi level	3.75	states/eV/f.u.

The structure in POSCAR format:
```
Sm2ScH
1.0
3.3295 0.0000 0.0000
0.0000 3.3295 0.0000
0.0000 0.0000 8.2646
Sm Sc H
2 1 1
direct
0.0000 0.0000 0.1972
0.0000 0.0000 0.8028
0.5000 0.5000 0.5000
0.5000 0.5000 0.0000
```


No. 18
VASP calculation (PBE) on USnSe3 after structural relaxation.

crystal system	monoclinic
formation energy without anion corrections	-0.8243	eV/atom
density of states at the Fermi level	5.41	states/eV/f.u.

The structure in POSCAR format:
```
USnSe3
1.0
8.2667 0.0000 0.0000
0.0000 3.9980 0.0000
-3.3088 0.0000 8.1422
U Sn Se
2 2 6
direct
0.0241 0.2500 0.2367
0.9759 0.7500 0.7633
0.4290 0.7500 0.6993
0.5710 0.2500 0.3007
0.1482 0.2500 0.6101
0.1796 0.2500 0.9908
0.3066 0.7500 0.3559
0.6934 0.2500 0.6441
0.8204 0.7500 0.0092
0.8518 0.7500 0.3899
```


No. 19
VASP calculation (PBE) on La2InNiHg after structural relaxation.

ΔE_f	-0.32	eV per atom
crystal system	tetragonal
density of states at the Fermi level	4.34	states/eV/f.u.

The structure in POSCAR format:
```
La2InNiHg
1.0
5.3400 0.0000 0.0000
0.0000 5.3400 0.0000
0.0000 0.0000 4.9930
La In Ni Hg
2 1 1 1
direct
0.0000 0.5000 0.0000
0.5000 0.0000 0.0000
0.0000 0.0000 0.5000
0.5000 0.5000 0.0000
0.5000 0.5000 0.5000
```


No. 20
VASP calculation (PBE) on Sm2LuGe after structural relaxation.

ΔE_f	-0.32	eV per atom
crystal system	tetragonal
density of states at the Fermi level	4.07	states/eV/f.u.

The structure in POSCAR format:
```
Sm2LuGe
1.0
4.6824 0.0000 0.0000
0.0000 4.6824 0.0000
0.0000 0.0000 4.7439
Sm Lu Ge
2 1 1
direct
0.0000 0.5000 0.0000
0.5000 0.0000 0.0000
0.0000 0.0000 0.5000
0.5000 0.5000 0.5000
```


No. 21
VASP calculation (PBE) on RbMgGa2Tc after structural relaxation.

ΔE_f	0.08	eV per atom
crystal system	tetragonal
density of states at the Fermi level	3.79	states/eV/f.u.

The structure in POSCAR format:
```
RbMgGa2Tc
1.0
4.9566 0.0000 0.0000
0.0000 4.9566 0.0000
0.0000 0.0000 5.2204
Rb Mg Ga Tc
1 1 2 1
direct
0.0000 0.0000 0.0000
0.5000 0.5000 0.0000
0.0000 0.5000 0.5000
0.5000 0.0000 0.5000
0.5000 0.5000 0.5000
```


No. 22
VASP calculation (PBE) on AlTeSe3 after structural relaxation.

crystal system	cubic
formation energy without anion corrections	0.0939	eV/atom
density of states at the Fermi level	2.44	states/eV/f.u.

The structure in POSCAR format:
```
AlTeSe3
1.0
4.8984 0.0000 0.0000
0.0000 4.8984 0.0000
0.0000 0.0000 4.8984
Al Te Se
1 1 3
direct
0.0000 0.0000 0.0000
0.5000 0.5000 0.5000
0.0000 0.0000 0.5000
0.0000 0.5000 0.0000
0.5000 0.0000 0.0000
```


No. 23
VASP calculation (PBE) on PaCuSe after structural relaxation.

crystal system	tetragonal
formation energy without anion corrections	-0.5150	eV/atom
density of states at the Fermi level	3.57	states/eV/f.u.

The structure in POSCAR format:
```
PaCuSe
1.0
3.4235 0.0000 0.0000
0.0000 3.4235 0.0000
0.0000 0.0000 10.7858
Pa Cu Se
2 2 2
direct
0.2500 0.2500 0.2250
0.7500 0.7500 0.7750
0.2500 0.2500 0.9483
0.7500 0.7500 0.0517
0.2500 0.2500 0.6273
0.7500 0.7500 0.3727
```


No. 24
VASP calculation (PBE) on CaTbGa6 after structural relaxation.

ΔE_f	-0.42	eV per atom
crystal system	orthorhombic
density of states at the Fermi level	3.50	states/eV/f.u.

The structure in POSCAR format:
```
CaTbGa6
1.0
4.4149 0.0000 0.0000
0.0000 6.0150 0.0000
0.0000 0.0000 6.1147
Ca Tb Ga
1 1 6
direct
0.0000 0.0000 0.0000
0.5000 0.5000 0.2129
0.0000 0.2567 0.4666
0.0000 0.5000 0.8610
0.0000 0.7433 0.4666
0.5000 0.0000 0.3549
0.5000 0.2486 0.7457
0.5000 0.7514 0.7457
```


No. 25
VASP calculation (PBE) on Sm2Tm4Tl3H2 after structural relaxation.

crystal system	tetragonal
E_tot	-4.03	eV per atom
density of states at the Fermi level	8.43	states/eV/f.u.

The structure in POSCAR format:
```
Sm2Tm4Tl3H2
1.0
-2.3696 2.3696 12.1717
2.3696 -2.3696 12.1717
2.3696 2.3696 -12.1717
Sm Tm Tl H
2 4 3 2
direct
0.1959 0.1959 0.0000
0.8041 0.8041 0.0000
0.0824 0.5824 0.5000
0.4176 0.9176 0.5000
0.5824 0.0824 0.5000
0.9176 0.4176 0.5000
0.3287 0.3287 0.0000
0.5000 0.5000 0.0000
0.6713 0.6713 0.0000
0.0976 0.0976 0.0000
0.9024 0.9024 0.0000
```


No. 26
VASP calculation (PBE) on Y2HoTh5 after structural relaxation.

ΔE_f	0.06	eV per atom
crystal system	orthorhombic
density of states at the Fermi level	12.80	states/eV/f.u.

The structure in POSCAR format:
```
Y2HoTh5
1.0
7.1531 0.0000 0.0000
0.0000 14.3367 0.0000
0.0000 0.0000 5.0305
Y Ho Th
4 2 10
direct
0.2478 0.1249 0.0000
0.2522 0.6249 0.0000
0.7478 0.3751 0.0000
0.7522 0.8751 0.0000
0.0000 0.0000 0.5000
0.5000 0.5000 0.5000
0.0000 0.5000 0.5000
0.0032 0.7498 0.5000
0.2441 0.3727 0.0000
0.2559 0.8727 0.0000
0.4968 0.2498 0.5000
0.5000 0.0000 0.5000
0.5032 0.7502 0.5000
0.7441 0.1273 0.0000
0.7559 0.6273 0.0000
0.9968 0.2502 0.5000
```